# 1
! Ta2InSe, relaxed, DFT GGA-PBE; values from VASP
! - Crystal system: orthorhombic
! - SG: Pmmm
! - Relative energy among the computed polymorphs: 393.5 meV per atom
&SYSTEM
  ibrav = 0, nat = 4, ntyp = 3
/
ATOMIC_SPECIES
Ta 180.95 Ta.upf
In 114.82 In.upf
Se 78.96 Se.upf
ATOMIC_POSITIONS crystal
Ta 0.000 0.000 0.000
Ta 0.500 0.000 0.500
In 0.000 0.500 0.500
Se 0.500 0.500 0.000
CELL_PARAMETERS angstrom
3.315 0.000 0.000
0.000 4.672 0.000
0.000 0.000 4.960

=====

# 2
! TaInSe2, relaxed, DFT GGA-PBE; values from VASP
! - Crystal system: trigonal
! - SG: R3m
&SYSTEM
  ibrav = 0, nat = 4, ntyp = 3
/
ATOMIC_SPECIES
Ta 180.95 Ta.upf
In 114.82 In.upf
Se 78.96 Se.upf
ATOMIC_POSITIONS crystal
Ta 0.000 0.000 0.000
In 0.248 0.248 0.248
Se 0.514 0.514 0.514
Se 0.725 0.725 0.725
CELL_PARAMETERS angstrom
1.722 0.994 9.196
-1.722 0.994 9.196
0.000 -1.989 9.196

=====

# 3
! TaIn2Se, relaxed, DFT GGA-PBE; values from VASP
! - Crystal system: tetragonal
! - SG: I-42d
&SYSTEM
  ibrav = 0, nat = 8, ntyp = 3
/
ATOMIC_SPECIES
Ta 180.95 Ta.upf
In 114.82 In.upf
Se 78.96 Se.upf
ATOMIC_POSITIONS crystal
Ta 0.000 0.000 0.000
Ta 0.750 0.250 0.500
In 0.008 0.625 0.883
In 0.375 0.258 0.383
In 0.742 0.125 0.117
In 0.875 0.992 0.617
Se 0.250 0.750 0.500
Se 0.500 0.500 0.000
CELL_PARAMETERS angstrom
-4.927 4.927 2.456
4.927 -4.927 2.456
4.927 4.927 -2.456

=====

# 4
! TaIn2Se, relaxed, DFT GGA-PBE; values from VASP
! - Crystal system: orthorhombic
! - SG: Immm
&SYSTEM
  ibrav = 0, nat = 4, ntyp = 3
/
ATOMIC_SPECIES
Ta 180.95 Ta.upf
In 114.82 In.upf
Se 78.96 Se.upf
ATOMIC_POSITIONS crystal
Ta 0.000 0.000 0.000
In 0.185 0.685 0.500
In 0.815 0.315 0.500
Se 0.500 0.500 0.000
CELL_PARAMETERS angstrom
-1.558 2.134 7.226
1.558 -2.134 7.226
1.558 2.134 -7.226

=====

# 5
! TaInSe2, relaxed, DFT GGA-PBE; values from VASP
! - Crystal system: orthorhombic
! - SG: Cmcm
&SYSTEM
  ibrav = 0, nat = 8, ntyp = 3
/
ATOMIC_SPECIES
Ta 180.95 Ta.upf
In 114.82 In.upf
Se 78.96 Se.upf
ATOMIC_POSITIONS crystal
Ta 0.050 0.950 0.750
Ta 0.950 0.050 0.250
In 0.313 0.687 0.750
In 0.687 0.313 0.250
Se 0.067 0.933 0.250
Se 0.169 0.831 0.750
Se 0.831 0.169 0.250
Se 0.933 0.067 0.750
CELL_PARAMETERS angstrom
1.798 -10.938 0.000
1.798 10.938 0.000
0.000 0.000 4.987

=====

# 6
! TaIn2Se, relaxed, DFT GGA-PBE; values from VASP
! - Crystal system: tetragonal
! - SG: P4mm
&SYSTEM
  ibrav = 0, nat = 4, ntyp = 3
/
ATOMIC_SPECIES
Ta 180.95 Ta.upf
In 114.82 In.upf
Se 78.96 Se.upf
ATOMIC_POSITIONS crystal
Ta 0.000 0.000 0.000
In 0.000 0.000 0.515
In 0.500 0.500 0.234
Se 0.500 0.500 0.847
CELL_PARAMETERS angstrom
3.183 0.000 0.000
0.000 3.183 0.000
0.000 0.000 9.191

=====

# 7
! Ta2InSe, relaxed, DFT GGA-PBE; values from VASP
! - Crystal system: monoclinic
! - SG: P2/m
! - Relative energy among the computed polymorphs: 325.1 meV per atom
&SYSTEM
  ibrav = 0, nat = 4, ntyp = 3
/
ATOMIC_SPECIES
Ta 180.95 Ta.upf
In 114.82 In.upf
Se 78.96 Se.upf
ATOMIC_POSITIONS crystal
Ta 0.062 0.000 0.262
Ta 0.938 0.000 0.738
In 0.500 0.500 0.000
Se 0.000 0.500 0.500
CELL_PARAMETERS angstrom
3.144 0.000 0.000
0.000 4.315 0.000
-0.878 0.000 5.761

=====

# 8
! Ta2InSe, relaxed, DFT GGA-PBE; values from VASP
! - Crystal system: orthorhombic
! - SG: Imm2
! - Relative energy among the computed polymorphs: 245.8 meV per atom
&SYSTEM
  ibrav = 0, nat = 4, ntyp = 3
/
ATOMIC_SPECIES
Ta 180.95 Ta.upf
In 114.82 In.upf
Se 78.96 Se.upf
ATOMIC_POSITIONS crystal
Ta 0.000 0.000 0.000
Ta 0.744 0.244 0.500
In 0.327 0.827 0.500
Se 0.569 0.569 0.000
CELL_PARAMETERS angstrom
-1.581 2.124 5.799
1.581 -2.124 5.799
1.581 2.124 -5.799

=====

# 9
! TaIn2Se, relaxed, DFT GGA-PBE; values from VASP
! - Crystal system: orthorhombic
! - SG: Cmmm
&SYSTEM
  ibrav = 0, nat = 4, ntyp = 3
/
ATOMIC_SPECIES
Ta 180.95 Ta.upf
In 114.82 In.upf
Se 78.96 Se.upf
ATOMIC_POSITIONS crystal
Ta 0.000 0.000 0.000
In 0.500 0.500 0.229
In 0.500 0.500 0.771
Se 0.000 0.000 0.500
CELL_PARAMETERS angstrom
2.116 -2.176 0.000
2.116 2.176 0.000
0.000 0.000 9.363

=====

# 10
! TaInSe2, relaxed, DFT GGA-PBE; values from VASP
! - Crystal system: orthorhombic
! - SG: Imm2
&SYSTEM
  ibrav = 0, nat = 4, ntyp = 3
/
ATOMIC_SPECIES
Ta 180.95 Ta.upf
In 114.82 In.upf
Se 78.96 Se.upf
ATOMIC_POSITIONS crystal
Ta 0.000 0.000 0.000
In 0.756 0.256 0.500
Se 0.111 0.611 0.500
Se 0.426 0.426 0.000
CELL_PARAMETERS angstrom
-1.655 1.698 8.605
1.655 -1.698 8.605
1.655 1.698 -8.605

=====

# 11
! Ta4In2Se7, relaxed, DFT GGA-PBE; values from VASP
! - Crystal system: trigonal
! - SG: P-31m
&SYSTEM
  ibrav = 0, nat = 13, ntyp = 3
/
ATOMIC_SPECIES
Ta 180.95 Ta.upf
In 114.82 In.upf
Se 78.96 Se.upf
ATOMIC_POSITIONS crystal
Ta 0.000 0.000 0.149
Ta 0.000 0.000 0.851
Ta 0.333 0.667 0.000
Ta 0.667 0.333 0.000
In 0.333 0.667 0.500
In 0.667 0.333 0.500
Se 0.000 0.000 0.500
Se 0.000 0.393 0.795
Se 0.000 0.607 0.205
Se 0.393 0.000 0.795
Se 0.393 0.393 0.205
Se 0.607 0.000 0.205
Se 0.607 0.607 0.795
CELL_PARAMETERS angstrom
6.255 0.000 0.000
-3.128 5.417 0.000
0.000 0.000 8.947

=====

# 12
! TaIn2Se, relaxed, DFT GGA-PBE; values from VASP
! - Crystal system: tetragonal
! - SG: I-4m2
&SYSTEM
  ibrav = 0, nat = 4, ntyp = 3
/
ATOMIC_SPECIES
Ta 180.95 Ta.upf
In 114.82 In.upf
Se 78.96 Se.upf
ATOMIC_POSITIONS crystal
Ta 0.000 0.000 0.000
In 0.250 0.750 0.500
In 0.500 0.500 0.000
Se 0.750 0.250 0.500
CELL_PARAMETERS angstrom
-2.121 2.121 4.734
2.121 -2.121 4.734
2.121 2.121 -4.734

=====

# 13
! TaInSe2, relaxed, DFT GGA-PBE; values from VASP
! - Crystal system: monoclinic
! - SG: P2/m
&SYSTEM
  ibrav = 0, nat = 4, ntyp = 3
/
ATOMIC_SPECIES
Ta 180.95 Ta.upf
In 114.82 In.upf
Se 78.96 Se.upf
ATOMIC_POSITIONS crystal
Ta 0.000 0.000 0.000
In 0.500 0.000 0.500
Se 0.000 0.500 0.235
Se 0.000 0.500 0.765
CELL_PARAMETERS angstrom
3.603 0.000 0.000
0.000 3.470 0.000
-0.009 0.000 7.957

=====

# 14
! TaInSe2, relaxed, DFT GGA-PBE; values from VASP
! - Crystal system: tetragonal
! - SG: P4mm
&SYSTEM
  ibrav = 0, nat = 4, ntyp = 3
/
ATOMIC_SPECIES
Ta 180.95 Ta.upf
In 114.82 In.upf
Se 78.96 Se.upf
ATOMIC_POSITIONS crystal
Ta 0.000 0.000 0.000
In 0.500 0.500 0.251
Se 0.000 0.000 0.442
Se 0.500 0.500 0.831
CELL_PARAMETERS angstrom
3.346 0.000 0.000
0.000 3.346 0.000
0.000 0.000 7.918

=====

Taking the records one at a time from the top gives uncorrected formation energy values of 300 -146 358 101 -67 -142 232 153 295 -363 -278 400 -154 -100 meV per atom.